No. 1
Material: ZrSiSe2
Method: DFT, GGA-PBE
State: relaxed

Properties
crystal system = tetragonal
energy relative to the elements, uncorrected = -0.27 eV per atom

Lattice parameters (Å, degrees): 5.743 5.743 5.743 140.01 140.01 57.83
Fractional coordinates of all 4 atoms:
Se: 0.000 0.000 0.000
Se: 0.250 0.750 0.500
Zr: 0.750 0.250 0.500
Si: 0.500 0.500 0.000

=====

No. 2
Material: SrCu2Mo
Method: DFT, GGA-PBE
State: relaxed

Properties
formation enthalpy at 0 K = 0.40 eV per atom
crystal system = trigonal
excess energy over the best structure of this formula in the dataset = 0.000 eV per atom

Lattice parameters (Å, degrees): 4.357 4.357 5.920 68.41 68.41 59.99
Site moments in Bohr magnetons follow the coordinates.
Fractional coordinates of all 4 atoms:
Cu: 0.060 0.060 0.821  0.06
Cu: 0.440 0.440 0.679  0.06
Sr: 0.250 0.250 0.250  -0.01
Mo: 0.750 0.750 0.750  1.41

=====

No. 3
Material: Ho4TlAu
Method: DFT, GGA-PBE
State: relaxed

Properties
formation enthalpy at 0 K = -0.40 eV per atom
crystal system = monoclinic
excess energy over the best structure of this formula in the dataset = 0.000 eV per atom

Lattice parameters (Å, degrees): 5.405 6.915 9.776 90.00 116.63 90.00
Fractional coordinates of all 12 atoms:
Ho: 0.661 0.250 0.886
Ho: 0.050 0.993 0.748
Ho: 0.615 0.250 0.432
Ho: 0.950 0.493 0.252
Ho: 0.950 0.007 0.252
Ho: 0.385 0.750 0.568
Ho: 0.339 0.750 0.114
Ho: 0.050 0.507 0.748
Au: 0.765 0.750 0.439
Au: 0.235 0.250 0.561
Tl: 0.688 0.750 0.924
Tl: 0.312 0.250 0.076

=====

No. 4
Material: PrPu3
Method: DFT, GGA-PBE
State: relaxed

Properties
formation enthalpy at 0 K = 0.31 eV per atom
crystal system = cubic

Lattice parameters (Å, degrees): 4.873 4.873 4.873 90.00 90.00 90.00
Site moments in Bohr magnetons follow the coordinates.
Fractional coordinates of all 4 atoms:
Pu: 0.000 0.500 0.500  5.46
Pu: 0.500 0.500 0.000  5.46
Pu: 0.500 0.000 0.500  5.46
Pr: 0.000 0.000 0.000  0.06

=====

No. 5
Material: TaNi2Ag
Method: DFT, GGA-PBE
State: relaxed

Properties
formation enthalpy at 0 K = 0.23 eV per atom
crystal system = trigonal
excess energy over the best structure of this formula in the dataset = 0.243 eV per atom

Lattice parameters (Å, degrees): 8.984 8.984 8.984 17.75 17.75 17.75
Site moments in Bohr magnetons follow the coordinates.
Fractional coordinates of all 4 atoms:
Ta: 0.508 0.508 0.508  -0.01
Ag: 0.744 0.744 0.744  -0.01
Ni: 0.994 0.994 0.994  0.23
Ni: 0.254 0.254 0.254  -0.01

=====

No. 6
Material: Al3NiIr
Method: DFT, GGA-PBE
State: relaxed

Properties
formation enthalpy at 0 K = 0.19 eV per atom
crystal system = cubic
excess energy over the best structure of this formula in the dataset = 0.027 eV per atom

Lattice parameters (Å, degrees): 4.664 4.664 4.664 90.00 90.00 90.00
Site moments in Bohr magnetons follow the coordinates.
Fractional coordinates of all 5 atoms:
Al: 0.000 0.000 0.500  0.01
Al: 0.500 0.000 0.000  0.00
Al: 0.000 0.500 0.000  0.01
Ni: 0.500 0.500 0.500  0.46
Ir: 0.000 0.000 0.000  0.02

=====

No. 7
Material: KBa2Bi3Pd4
Method: DFT, GGA-PBE
State: relaxed

Properties
formation enthalpy at 0 K = -0.53 eV per atom
crystal system = tetragonal

Lattice parameters (Å, degrees): 4.950 4.950 11.345 90.00 90.00 90.00
Fractional coordinates of all 10 atoms:
Pd: 0.500 0.500 0.000
Pd: 0.500 0.000 0.642
Pd: 0.000 0.000 0.000
Pd: 0.000 0.500 0.358
Bi: 0.000 0.000 0.500
Bi: 0.000 0.500 0.119
Bi: 0.500 0.000 0.881
Ba: 0.000 0.500 0.766
Ba: 0.500 0.000 0.234
K: 0.500 0.500 0.500

=====

No. 8
Material: Ho2MgIr
Method: DFT, GGA-PBE
State: relaxed

Properties
formation enthalpy at 0 K = -0.53 eV per atom
crystal system = orthorhombic

Lattice parameters (Å, degrees): 4.006 7.412 7.254 90.00 90.00 105.68
Fractional coordinates of all 8 atoms:
Mg: 0.993 0.985 0.750
Mg: 0.007 0.015 0.250
Ir: 0.800 0.599 0.750
Ir: 0.200 0.401 0.250
Ho: 0.646 0.291 0.005
Ho: 0.646 0.291 0.495
Ho: 0.354 0.709 0.505
Ho: 0.354 0.709 0.995

=====

No. 9
Material: SmPt2Au2
Method: DFT, GGA-PBE
State: relaxed

Properties
formation enthalpy at 0 K = -0.54 eV per atom
crystal system = tetragonal

Lattice parameters (Å, degrees): 3.962 3.962 13.406 98.50 98.50 90.00
Fractional coordinates of all 10 atoms:
Au: 0.823 0.823 0.647
Au: 0.177 0.177 0.353
Au: 0.000 0.500 0.000
Au: 0.500 0.000 0.000
Pt: 0.250 0.750 0.500
Pt: 0.923 0.923 0.847
Pt: 0.077 0.077 0.153
Pt: 0.750 0.250 0.500
Sm: 0.378 0.378 0.755
Sm: 0.622 0.622 0.245

=====

No. 10
Material: Ce2AlCo12B3
Method: DFT, GGA-PBE
State: relaxed

Properties
formation enthalpy at 0 K = 0.04 eV per atom
crystal system = trigonal

Lattice parameters (Å, degrees): 6.517 6.517 6.517 65.62 65.62 65.62
Site moments in Bohr magnetons follow the coordinates.
Fractional coordinates of all 18 atoms:
B: 0.000 0.000 0.500  -0.06
B: 0.000 0.500 0.000  -0.06
B: 0.500 0.000 0.000  -0.06
Co: 0.267 0.267 0.872  0.68
Co: 0.733 0.733 0.128  0.68
Co: 0.128 0.733 0.733  0.68
Co: 0.845 0.845 0.430  0.50
Co: 0.570 0.155 0.155  0.50
Co: 0.155 0.570 0.155  0.50
Co: 0.430 0.845 0.845  0.50
Co: 0.733 0.128 0.733  0.68
Co: 0.155 0.155 0.570  0.50
Co: 0.845 0.430 0.845  0.50
Co: 0.267 0.872 0.267  0.68
Co: 0.872 0.267 0.267  0.68
Ce: 0.398 0.398 0.398  -0.28
Ce: 0.602 0.602 0.602  -0.28
Al: 0.000 0.000 0.000  -0.02

=====

No. 11
Material: LiSm4Dy3Se8
Method: DFT, GGA-PBE
State: relaxed

Properties
crystal system = trigonal
energy relative to the elements, uncorrected = -1.77 eV per atom

Lattice parameters (Å, degrees): 8.203 8.241 8.204 119.85 120.00 90.00
Fractional coordinates of all 16 atoms:
Se: 0.253 0.259 0.506
Se: 0.752 0.736 0.994
Se: 0.242 0.736 0.994
Se: 0.758 0.264 0.516
Se: 0.747 0.741 0.494
Se: 0.248 0.264 0.006
Se: 0.758 0.264 0.006
Se: 0.242 0.736 0.484
Li: 0.000 0.500 0.000
Sm: 0.000 0.000 0.500
Sm: 0.500 0.000 0.500
Sm: 0.500 0.000 0.000
Sm: 0.000 0.000 0.000
Dy: 0.000 0.500 0.500
Dy: 0.500 0.500 0.500
Dy: 0.500 0.500 0.000

=====

No. 12
Material: Rb3Pa3NiSe8
Method: DFT, GGA-PBE
State: relaxed

Properties
crystal system = monoclinic
energy relative to the elements, uncorrected = -1.14 eV per atom

Lattice parameters (Å, degrees): 8.444 8.155 9.316 113.96 90.00 121.18
Site moments in Bohr magnetons follow the coordinates.
Fractional coordinates of all 15 atoms:
Rb: 0.500 0.500 0.000  0.00
Rb: 0.000 0.500 0.000  0.00
Rb: 0.000 0.000 0.000  0.00
Se: 0.719 0.956 0.696  -0.01
Se: 0.204 0.409 0.671  0.00
Se: 0.281 0.044 0.304  -0.01
Se: 0.237 0.956 0.696  -0.01
Se: 0.735 0.469 0.702  -0.02
Se: 0.763 0.044 0.304  -0.01
Se: 0.265 0.531 0.298  -0.02
Se: 0.796 0.591 0.329  0.00
Pa: 0.500 0.000 0.500  0.95
Pa: 0.000 0.500 0.500  0.91
Pa: 0.500 0.500 0.500  0.91
Ni: 0.000 0.000 0.500  0.77

=====

no.,total energy (eV per atom)
1,-5.501
2,-4.772
3,-4.395
4,-11.638
5,-6.333
6,-4.988
7,-4.265
8,-5.429
9,-5.214
10,-6.679
11,-5.677
12,-5.478